(1)
# Co6O7F5

A relaxed structure of Co6O7F5 (GGA+U, the Alexandria database).

```
data_Co6O7F5
_symmetry_space_group_name_H-M 'C 1 m 1'
_symmetry_Int_Tables_number 8
_cell_length_a 9.218
_cell_length_b 6.108
_cell_length_c 7.562
_cell_angle_alpha 90.00
_cell_angle_beta 116.99
_cell_angle_gamma 90.00
loop_
_symmetry_equiv_pos_as_xyz
'x,y,z'
'x,-y,z'
'x+1/2,y+1/2,z'
'x+1/2,-y+1/2,z'
loop_
_atom_site_label
_atom_site_type_symbol
_atom_site_fract_x
_atom_site_fract_y
_atom_site_fract_z
_atom_site_occupancy
Co1 Co 0.000 0.000 0.000 1
Co2 Co 0.002 0.000 0.498 1
Co3 Co 0.157 0.500 0.161 1
Co4 Co 0.169 0.500 0.666 1
Co5 Co 0.335 0.000 0.839 1
Co6 Co 0.346 0.000 0.307 1
O1 O 0.004 0.305 0.491 1
O2 O 0.170 0.194 0.162 1
O3 O 0.335 0.307 0.834 1
O4 O 0.439 0.000 0.115 1
F1 F 0.068 0.500 0.863 1
F2 F 0.096 0.000 0.791 1
F3 F 0.236 0.000 0.549 1
F4 F 0.271 0.500 0.461 1
F5 F 0.395 0.500 0.202 1
```

Calculated values
Size of the total moment ... 0.91 μB per atom
ΔE to the lowest computed polymorph ... 0.00 eV per formula unit
DFT total energy ... -5.368 eV per atom
Crystal system ... monoclinic
N(E_F) ... 7.4 states/eV per cell

(2)
# Sc2CoF

A relaxed structure of Sc2CoF (GGA+U, the Alexandria database).

```
data_Sc2CoF
_symmetry_space_group_name_H-M 'R -3 m'
_symmetry_Int_Tables_number 166
_symmetry_space_group_name_Hall '-R 3 2"'
_cell_length_a 3.6679
_cell_length_b 3.6679
_cell_length_c 20.1448
_cell_angle_alpha 90.00
_cell_angle_beta 90.00
_cell_angle_gamma 120.00
loop_
_atom_site_label
_atom_site_type_symbol
_atom_site_fract_x
_atom_site_fract_y
_atom_site_fract_z
_atom_site_occupancy
Sc1 Sc 0.0000 0.0000 0.1020 1
Co1 Co 0.0000 0.0000 0.5000 1
F1 F 0.0000 0.0000 0.0000 1
```

Calculated values
Size of the total moment ... 0.00 μB per atom
ΔE to the lowest computed polymorph ... 0.00 eV per formula unit
DFT total energy ... -6.010 eV per atom
Crystal system ... trigonal
N(E_F) ... 5.1 states/eV per cell

What did the first record say?
# Co6O7F5

A relaxed structure of Co6O7F5 (GGA+U, the Alexandria database).

```
data_Co6O7F5
_symmetry_space_group_name_H-M 'C 1 m 1'
_symmetry_Int_Tables_number 8
_cell_length_a 9.218
_cell_length_b 6.108
_cell_length_c 7.562
_cell_angle_alpha 90.00
_cell_angle_beta 116.99
_cell_angle_gamma 90.00
loop_
_symmetry_equiv_pos_as_xyz
'x,y,z'
'x,-y,z'
'x+1/2,y+1/2,z'
'x+1/2,-y+1/2,z'
loop_
_atom_site_label
_atom_site_type_symbol
_atom_site_fract_x
_atom_site_fract_y
_atom_site_fract_z
_atom_site_occupancy
Co1 Co 0.000 0.000 0.000 1
Co2 Co 0.002 0.000 0.498 1
Co3 Co 0.157 0.500 0.161 1
Co4 Co 0.169 0.500 0.666 1
Co5 Co 0.335 0.000 0.839 1
Co6 Co 0.346 0.000 0.307 1
O1 O 0.004 0.305 0.491 1
O2 O 0.170 0.194 0.162 1
O3 O 0.335 0.307 0.834 1
O4 O 0.439 0.000 0.115 1
F1 F 0.068 0.500 0.863 1
F2 F 0.096 0.000 0.791 1
F3 F 0.236 0.000 0.549 1
F4 F 0.271 0.500 0.461 1
F5 F 0.395 0.500 0.202 1
```

Calculated values
Size of the total moment ... 0.91 μB per atom
ΔE to the lowest computed polymorph ... 0.00 eV per formula unit
DFT total energy ... -5.368 eV per atom
Crystal system ... monoclinic
N(E_F) ... 7.4 states/eV per cell

Question: Among the records above, which one has the lowest N(E_F)?
Answer: Sc2CoF

Question: Which formula does entry 2 have?
Answer: Sc2CoF